A relaxed NaMn2Sn2 crystal. Source: the Alexandria database, functional PBE-GGA.

Output
DOS at the Fermi energy = 4.50 states/eV/f.u.
space-group type = I4/mmm, No. 139
spin magnetization = 1.206 Bohr magnetons per cell
theoretical density = 6.10 g cm⁻³
formation energy = 0.194 eV/atom

Geometry as POSCAR:
```
NaMn2Sn2
1.0
-1.652 1.652 9.241
1.652 -1.652 9.241
1.652 1.652 -9.241
Na Mn Sn
1 2 2
Direct
0.000 0.000 0.000
0.750 0.250 0.500
0.250 0.750 0.500
0.632 0.632 0.000
0.368 0.368 0.000
```

=====

A relaxed MnCd2Se crystal. Source: the Alexandria database, functional PBE-GGA.

Output
raw formation energy = -0.004 eV/f.u.
DOS at the Fermi energy = 2.38 states/eV/f.u.
space-group type = R3m, No. 160
spin magnetization = 2.597 Bohr magnetons per cell
theoretical density = 7.29 g cm⁻³

Geometry as POSCAR:
```
MnCd2Se
1.0
9.341 -0.048 -0.028
8.806 3.118 -0.028
8.806 1.490 2.739
Cd Mn Se
2 1 1
Direct
0.001 0.001 0.001
0.237 0.237 0.237
0.492 0.492 0.492
0.770 0.770 0.770
```

=====

A relaxed Ac2AgHg4 crystal. Source: the Alexandria database, functional PBE-GGA.

Output
DOS at the Fermi energy = 6.60 states/eV/f.u.
space-group type = I4/mmm, No. 139
spin magnetization = 0.000 Bohr magnetons per cell
theoretical density = 9.81 g cm⁻³
formation energy = -0.136 eV/atom

Geometry as POSCAR:
```
Ac2AgHg4
1.0
5.261 0.000 0.000
0.000 5.261 0.000
-2.630 -2.630 8.341
Ac Ag Hg
2 1 4
Direct
0.633 0.633 0.265
0.367 0.367 0.735
0.000 0.000 0.000
0.826 0.826 0.653
0.174 0.174 0.347
0.000 0.500 0.000
0.500 0.000 0.000
```

=====

A relaxed LiEr2Ag crystal. Source: the Alexandria database, functional PBE-GGA.

Output
DOS at the Fermi energy = 3.00 states/eV/f.u.
space-group type = P4/mmm, No. 123
spin magnetization = 0.000 Bohr magnetons per cell
theoretical density = 7.91 g cm⁻³
formation energy = -0.114 eV/atom

Geometry as POSCAR:
```
LiEr2Ag
1.0
3.651 0.000 0.000
0.000 5.084 0.000
0.000 0.000 5.084
Li Ag Er
1 1 2
Direct
0.500 0.000 0.000
0.500 0.500 0.500
0.000 0.000 0.500
0.000 0.500 0.000
```

=====

A relaxed NaAlB crystal. Source: the Alexandria database, functional PBE-GGA.

Output
DOS at the Fermi energy = 0.21 states/eV/f.u.
space-group type = P1, No. 1
spin magnetization = 0.000 Bohr magnetons per cell
theoretical density = 2.09 g cm⁻³
formation energy = 0.081 eV/atom

Geometry as POSCAR:
```
NaAlB
1.0
3.092 -0.001 0.030
1.546 2.678 0.027
1.553 0.931 11.682
Na B Al
2 2 2
Direct
0.162 0.465 0.686
0.580 0.874 0.410
0.977 0.274 0.229
0.310 0.607 0.229
0.420 0.722 0.916
0.687 0.986 0.106
```

=====

A relaxed Hf3ReBr crystal. Source: the Alexandria database, functional PBE-GGA.

Output
raw formation energy = 5.251 eV/f.u.
DOS at the Fermi energy = 3.41 states/eV/f.u.
space-group type = Pm-3m, No. 221
spin magnetization = 0.551 Bohr magnetons per cell
theoretical density = 12.10 g cm⁻³

Geometry as POSCAR:
```
Hf3ReBr
1.0
-2.378 1.635 3.825
-4.125 -1.498 -1.924
0.539 -4.248 2.151
Re Hf Br
1 3 1
Direct
0.500 0.500 0.500
0.000 0.500 0.000
0.000 0.000 0.500
0.500 0.000 0.000
0.000 0.000 0.000
```

=====

A relaxed Si2MoCl2 crystal. Source: the Alexandria database, functional PBE-GGA.

Output
raw formation energy = 2.084 eV/f.u.
DOS at the Fermi energy = 2.56 states/eV/f.u.
space-group type = P4/mbm, No. 127
spin magnetization = 4.729 Bohr magnetons per cell
theoretical density = 3.05 g cm⁻³

Geometry as POSCAR:
```
Si2MoCl2
1.0
7.023 0.000 0.000
0.000 7.023 0.000
0.000 0.000 4.931
Mo Si Cl
2 4 4
Direct
0.000 0.000 0.000
0.500 0.500 0.000
0.250 0.750 0.000
0.750 0.750 0.000
0.750 0.250 0.000
0.250 0.250 0.000
0.248 0.748 0.500
0.748 0.752 0.500
0.752 0.252 0.500
0.252 0.248 0.500
```

=====

A relaxed TaSi2Ir crystal. Source: the Alexandria database, functional PBE-GGA.

Output
raw formation energy = -0.975 eV/f.u.
DOS at the Fermi energy = 1.67 states/eV/f.u.
space-group type = R-3m, No. 166
spin magnetization = 0.000 Bohr magnetons per cell
theoretical density = 12.08 g cm⁻³

Geometry as POSCAR:
```
TaSi2Ir
1.0
-5.369 -2.719 -5.909
-3.055 -4.270 -6.601
-4.841 -5.194 -4.553
Ir Si Ta
1 2 1
Direct
0.250 0.250 0.250
0.995 0.995 0.995
0.505 0.505 0.505
0.750 0.750 0.750
```

=====

A relaxed Nd2CdF crystal. Source: the Alexandria database, functional PBE-GGA.

Output
raw formation energy = -4.174 eV/f.u.
DOS at the Fermi energy = 3.44 states/eV/f.u.
space-group type = P4/mmm, No. 123
spin magnetization = 0.000 Bohr magnetons per cell
theoretical density = 7.53 g cm⁻³

Geometry as POSCAR:
```
Nd2CdF
1.0
-2.413 2.240 -0.461
-1.118 -0.570 3.079
5.028 6.023 2.941
F Nd Cd
1 2 1
Direct
0.500 0.500 0.000
0.000 0.000 0.772
0.000 0.000 0.228
0.500 0.500 0.500
```

=====

A relaxed Zn3TcO crystal. Source: the Alexandria database, functional PBE-GGA.

Output
raw formation energy = 5.848 eV/f.u.
DOS at the Fermi energy = 2.95 states/eV/f.u.
space-group type = Pm-3m, No. 221
spin magnetization = 3.503 Bohr magnetons per cell
theoretical density = 4.35 g cm⁻³

Geometry as POSCAR:
```
Zn3TcO
1.0
4.913 0.000 0.000
0.000 4.913 0.000
0.000 0.000 4.913
Zn Tc O
3 1 1
Direct
0.000 0.500 0.000
0.000 0.000 0.500
0.500 0.000 0.000
0.000 0.000 0.000
0.500 0.500 0.500
```

=====

A relaxed SmHo4 crystal. Source: the Alexandria database, functional PBE-GGA.

Output
DOS at the Fermi energy = 6.60 states/eV/f.u.
space-group type = C2/m, No. 12
spin magnetization = 0.000 Bohr magnetons per cell
theoretical density = 8.57 g cm⁻³
formation energy = 0.019 eV/atom

Geometry as POSCAR:
```
SmHo4
1.0
-3.282 0.298 1.304
-2.407 -2.514 -0.671
2.206 -7.803 12.088
Sm Ho
1 4
Direct
0.000 0.000 0.000
0.200 0.200 0.401
0.800 0.800 0.599
0.599 0.599 0.203
0.401 0.401 0.797
```

=====

A relaxed PmTmMgSc crystal. Source: the Alexandria database, functional PBE-GGA.

Output
DOS at the Fermi energy = 5.60 states/eV/f.u.
space-group type = P4mm, No. 99
spin magnetization = 0.000 Bohr magnetons per cell
theoretical density = 5.69 g cm⁻³
formation energy = -0.003 eV/atom

Geometry as POSCAR:
```
PmTmMgSc
1.0
-2.039 -0.888 2.664
2.795 -0.331 2.029
-0.710 8.935 2.435
Pm Tm Mg Sc
1 1 1 1
Direct
0.607 0.930 0.852
0.107 0.430 0.573
0.108 0.429 0.110
0.608 0.930 0.327
```